Material: YScCo2
Method: DFT, PBE
State: optimized geometry

CIF file:
```
data_YScCo2
_cell_length_a 4.551
_cell_length_b 4.551
_cell_length_c 4.551
_cell_angle_alpha 60.00
_cell_angle_beta 60.00
_cell_angle_gamma 60.00
_space_group_name_H-M_alt 'P 1'
_space_group_IT_number 1
_space_group_name_Hall 'P 1'
loop_
_atom_site_label
_atom_site_type_symbol
_atom_site_fract_x
_atom_site_fract_y
_atom_site_fract_z
Co1 Co 0.000 0.000 0.000
Co2 Co 0.750 0.750 0.750
Sc1 Sc 0.500 0.500 0.500
Y1 Y 0.250 0.250 0.250
```

Properties
- Crystal system: cubic
- Calculated formation energy: 0.1931 eV/atom
- Energy above the lowest structure with this stoichiometry: 38.8 kJ per mole of atoms

Material: YScCo2
Method: DFT, PBE
State: optimized geometry

CIF file:
```
data_YScCo2
_cell_length_a 6.814
_cell_length_b 6.814
_cell_length_c 6.814
_cell_angle_alpha 32.85
_cell_angle_beta 32.85
_cell_angle_gamma 32.85
_space_group_name_H-M_alt 'P 1'
_space_group_IT_number 1
_space_group_name_Hall 'P 1'
loop_
_atom_site_label
_atom_site_type_symbol
_atom_site_fract_x
_atom_site_fract_y
_atom_site_fract_z
Co1 Co 0.954 0.954 0.954
Co2 Co 0.289 0.289 0.289
Sc1 Sc 0.540 0.540 0.540
Y1 Y 0.717 0.717 0.717
```

Properties
- Crystal system: trigonal
- Calculated formation energy: -0.1767 eV/atom
- Energy above the lowest structure with this stoichiometry: 3.1 kJ per mole of atoms

Material: YSc2Co
Method: DFT, PBE
State: optimized geometry

CIF file:
```
data_YSc2Co
_cell_length_a 5.883
_cell_length_b 5.883
_cell_length_c 5.008
_cell_angle_alpha 64.81
_cell_angle_beta 64.81
_cell_angle_gamma 33.78
_space_group_name_H-M_alt 'P 1'
_space_group_IT_number 1
_space_group_name_Hall 'P 1'
loop_
_atom_site_label
_atom_site_type_symbol
_atom_site_fract_x
_atom_site_fract_y
_atom_site_fract_z
Co1 Co 0.741 0.741 0.758
Sc1 Sc 0.059 0.059 0.942
Sc2 Sc 0.250 0.250 0.251
Y1 Y 0.450 0.450 0.550
```

Properties
- Crystal system: monoclinic
- Calculated formation energy: -0.0969 eV/atom
- Energy above the lowest structure with this stoichiometry: 9.0 kJ per mole of atoms

| no. | mass density (g/cm³) |
| --- | --- |
| 1 | 6.270 |
| 2 | 5.048 |
| 3 | 4.573 |